Record 1
# KCaTa

KCaTa after structural relaxation (PBE-GGA, Alexandria via LeMat-Bulk).

Structure (extended XYZ):
```
3
Lattice="-5.635 -2.831 7.207 -6.307 -5.954 4.059 7.658 3.180 -4.790" Properties=species:S:1:pos:R:3 pbc="T T T"
K -3.788 -2.787 3.574
Ca -0.352 -0.259 0.332
Ta -7.802 -5.739 7.360
```

Results
total energy = -12.0 eV per cell
energy above the lowest structure with this stoichiometry = 646 meV/atom
energy of formation = 979 meV/atom
crystal system = tetragonal



Record 2
# Mg2MnTc

Mg2MnTc after structural relaxation (PBE-GGA, Alexandria via LeMat-Bulk).

Structure (extended XYZ):
```
4
Lattice="5.341 0.057 0.081 -2.568 4.684 0.081 0.409 0.700 2.584" Properties=species:S:1:pos:R:3 pbc="T T T"
Mg 0.000 0.000 0.000
Mg 1.387 2.370 0.081
Mn 2.875 0.378 1.333
Tc -1.079 2.692 1.333
```

Results
total energy = -21.6 eV per cell
energy above the lowest structure with this stoichiometry = 211 meV/atom
energy of formation = 284 meV/atom
crystal system = monoclinic



Please write out number 2 again, unchanged.
# Mg2MnTc

Mg2MnTc after structural relaxation (PBE-GGA, Alexandria via LeMat-Bulk).

Structure (extended XYZ):
```
4
Lattice="5.341 0.057 0.081 -2.568 4.684 0.081 0.409 0.700 2.584" Properties=species:S:1:pos:R:3 pbc="T T T"
Mg 0.000 0.000 0.000
Mg 1.387 2.370 0.081
Mn 2.875 0.378 1.333
Tc -1.079 2.692 1.333
```

Results
total energy = -21.6 eV per cell
energy above the lowest structure with this stoichiometry = 211 meV/atom
energy of formation = 284 meV/atom
crystal system = monoclinic



Q: The highest energy of formation belongs to which entry?
A: KCaTa